Computed, not measured: a relaxed KCr2Mo crystal at the PBE-GGA level of DFT.

Geometry as extended XYZ:
```
4
Lattice="2.861 0.000 0.000 0.000 3.672 0.000 -1.108 0.000 7.895" Properties=species:S:1:pos:R:3 pbc="T T T"
K 0.000 0.000 0.000
Cr -0.060 0.000 4.184
Cr 1.045 1.836 5.094
Mo 1.604 1.836 2.965
```

Values from the calculation:
Its energy is -6.90 eV per atom. As for the density of states at the Fermi level: 3.7 states/eV per cell.